Entry 1:
VASP calculation (PBE-GGA) on a geometry-optimized YPd4Au3 structure.

ΔH_f (0 K) = -3.69 eV per formula unit
Final energy = -5.095 eV per atom

```
data_YPd4Au3
_symmetry_space_group_name_H-M 'P 1'
_symmetry_Int_Tables_number 1
_cell_length_a 4.9472
_cell_length_b 6.0420
_cell_length_c 9.4145
_cell_angle_alpha 90.00
_cell_angle_beta 90.00
_cell_angle_gamma 90.00
loop_
_symmetry_equiv_pos_as_xyz
'x,y,z'
loop_
_atom_site_label
_atom_site_fract_x
_atom_site_fract_y
_atom_site_fract_z
Y1 0.0000 0.5000 0.0000
Y2 0.0000 0.5000 0.5000
Au1 0.0000 0.0000 0.0000
Au2 0.0000 0.0000 0.5000
Au3 0.6460 0.0000 0.7500
Au4 0.3540 0.0000 0.2500
Au5 0.6090 0.5000 0.7500
Au6 0.3910 0.5000 0.2500
Pd1 0.5000 0.7549 0.0000
Pd2 0.5000 0.7549 0.5000
Pd3 0.5000 0.2451 0.0000
Pd4 0.5000 0.2451 0.5000
Pd5 0.1422 0.7605 0.7500
Pd6 0.8578 0.7605 0.2500
Pd7 0.8578 0.2395 0.2500
Pd8 0.1422 0.2395 0.7500
```



Entry 2:
VASP calculation (PBE-GGA) on a geometry-optimized TaSbAu structure.

ΔE_f (raw) = 30.6 kJ per mole of atoms
Final energy = -6.100 eV per atom

```
data_TaSbAu
_symmetry_space_group_name_H-M 'P 1'
_symmetry_Int_Tables_number 1
_cell_length_a 4.6316
_cell_length_b 4.6316
_cell_length_c 4.6316
_cell_angle_alpha 60.00
_cell_angle_beta 60.00
_cell_angle_gamma 60.00
loop_
_symmetry_equiv_pos_as_xyz
'x,y,z'
loop_
_atom_site_label
_atom_site_fract_x
_atom_site_fract_y
_atom_site_fract_z
Au1 0.0000 0.0000 0.0000
Sb1 0.5000 0.5000 0.5000
Ta1 0.7500 0.7500 0.7500
```



Entry 3:
VASP calculation (PBE-GGA) on a geometry-optimized Pm3Nd4Ho structure.

ΔH_f (0 K) = 1.21 eV per formula unit
Final energy = -4.587 eV per atom

```
data_Pm3Nd4Ho
_symmetry_space_group_name_H-M 'P 1'
_symmetry_Int_Tables_number 1
_cell_length_a 3.5248
_cell_length_b 6.9397
_cell_length_c 12.0137
_cell_angle_alpha 106.74
_cell_angle_beta 98.44
_cell_angle_gamma 90.00
loop_
_symmetry_equiv_pos_as_xyz
'x,y,z'
loop_
_atom_site_label
_atom_site_fract_x
_atom_site_fract_y
_atom_site_fract_z
Nd1 0.7416 0.2403 0.4831
Nd2 0.2584 0.7597 0.5169
Nd3 0.1234 0.3638 0.2468
Nd4 0.8766 0.6362 0.7532
Ho1 0.5000 0.0000 0.0000
Pm1 0.0000 0.5000 0.0000
Pm2 0.1233 0.8835 0.2465
Pm3 0.8767 0.1165 0.7535
```



Entry 4:
VASP calculation (PBE-GGA) on a geometry-optimized TlSbAu2 structure.

ΔE_f (raw) = -2.0 kJ per mole of atoms
Final energy = -3.282 eV per atom

```
data_TlSbAu2
_symmetry_space_group_name_H-M 'P 1'
_symmetry_Int_Tables_number 1
_cell_length_a 4.7982
_cell_length_b 4.7384
_cell_length_c 4.7420
_cell_angle_alpha 72.77
_cell_angle_beta 90.00
_cell_angle_gamma 90.00
loop_
_symmetry_equiv_pos_as_xyz
'x,y,z'
loop_
_atom_site_label
_atom_site_fract_x
_atom_site_fract_y
_atom_site_fract_z
Sb1 0.0000 0.4272 0.4273
Tl1 0.5000 0.7949 0.7949
Au1 0.0000 0.0380 0.0379
Au2 0.5000 0.2399 0.2399
```



Entry 5:
VASP calculation (PBE-GGA) on a geometry-optimized Dy6ErIn4 structure.

ΔH_f (0 K) = -0.99 eV per formula unit
Final energy = -4.011 eV per atom

```
data_Dy6ErIn4
_symmetry_space_group_name_H-M 'P 1'
_symmetry_Int_Tables_number 1
_cell_length_a 8.0051
_cell_length_b 8.0051
_cell_length_c 8.0051
_cell_angle_alpha 85.70
_cell_angle_beta 122.51
_cell_angle_gamma 122.51
loop_
_symmetry_equiv_pos_as_xyz
'x,y,z'
loop_
_atom_site_label
_atom_site_fract_x
_atom_site_fract_y
_atom_site_fract_z
Dy1 0.0000 0.9026 0.5265
Dy2 0.0000 0.5265 0.9026
Dy3 0.6239 0.0974 0.0974
Dy4 0.5000 0.0000 0.5000
Dy5 0.3761 0.4735 0.4735
Dy6 0.5000 0.5000 0.0000
Er1 0.0000 0.0000 0.0000
In1 0.0000 0.2644 0.6003
In2 0.6642 0.3997 0.3997
In3 0.0000 0.6003 0.2644
In4 0.3358 0.7356 0.7356
```



Entry 6:
VASP calculation (PBE-GGA) on a geometry-optimized NiB structure.

ΔH_f (0 K) = -0.48 eV per formula unit
Final energy = -6.468 eV per atom

```
data_NiB
_symmetry_space_group_name_H-M 'P 1'
_symmetry_Int_Tables_number 1
_cell_length_a 3.9683
_cell_length_b 3.9683
_cell_length_c 2.9850
_cell_angle_alpha 90.00
_cell_angle_beta 90.00
_cell_angle_gamma 136.51
loop_
_symmetry_equiv_pos_as_xyz
'x,y,z'
loop_
_atom_site_label
_atom_site_fract_x
_atom_site_fract_y
_atom_site_fract_z
Ni1 0.1472 0.8528 0.7500
Ni2 0.8528 0.1472 0.2500
B1 0.4333 0.5667 0.7500
B2 0.5667 0.4333 0.2500
```



Entry 7:
VASP calculation (PBE-GGA) on a geometry-optimized KNa2Cd2 structure.

ΔH_f (0 K) = -0.25 eV per formula unit
Final energy = -1.162 eV per atom

```
data_KNa2Cd2
_symmetry_space_group_name_H-M 'P 1'
_symmetry_Int_Tables_number 1
_cell_length_a 5.0126
_cell_length_b 7.6676
_cell_length_c 10.0347
_cell_angle_alpha 110.22
_cell_angle_beta 104.46
_cell_angle_gamma 90.00
loop_
_symmetry_equiv_pos_as_xyz
'x,y,z'
loop_
_atom_site_label
_atom_site_fract_x
_atom_site_fract_y
_atom_site_fract_z
K1 0.0035 0.7500 0.0000
K2 0.9965 0.2500 0.0000
Na1 0.3508 0.8436 0.7013
Na2 0.3505 0.3436 0.7013
Na3 0.6492 0.1564 0.2987
Na4 0.6495 0.6564 0.2987
Cd1 0.2033 0.9585 0.4067
Cd2 0.7966 0.5415 0.5933
Cd3 0.7967 0.0415 0.5933
Cd4 0.2034 0.4585 0.4067
```



Entry 8:
VASP calculation (PBE-GGA) on a geometry-optimized Na3MnFe structure.

ΔH_f (0 K) = 6.22 eV per formula unit
Final energy = -3.073 eV per atom

```
data_Na3MnFe
_symmetry_space_group_name_H-M 'P 1'
_symmetry_Int_Tables_number 1
_cell_length_a 5.3882
_cell_length_b 5.3882
_cell_length_c 5.3882
_cell_angle_alpha 90.00
_cell_angle_beta 90.00
_cell_angle_gamma 90.00
loop_
_symmetry_equiv_pos_as_xyz
'x,y,z'
loop_
_atom_site_label
_atom_site_fract_x
_atom_site_fract_y
_atom_site_fract_z
Na1 0.0000 0.5000 0.0000
Na2 0.0000 0.0000 0.5000
Na3 0.5000 0.0000 0.0000
Mn1 0.5000 0.5000 0.5000
Fe1 0.0000 0.0000 0.0000
```



Entry 9:
VASP calculation (PBE-GGA) on a geometry-optimized AlRe3Te structure.

ΔE_f (raw) = 236.8 kJ per mole of atoms
Final energy = -6.392 eV per atom

```
data_AlRe3Te
_symmetry_space_group_name_H-M 'P 1'
_symmetry_Int_Tables_number 1
_cell_length_a 4.8044
_cell_length_b 4.8044
_cell_length_c 4.8044
_cell_angle_alpha 90.00
_cell_angle_beta 90.00
_cell_angle_gamma 90.00
loop_
_symmetry_equiv_pos_as_xyz
'x,y,z'
loop_
_atom_site_label
_atom_site_fract_x
_atom_site_fract_y
_atom_site_fract_z
Re1 0.0000 0.5000 0.0000
Re2 0.0000 0.0000 0.5000
Re3 0.5000 0.0000 0.0000
Te1 0.0000 0.0000 0.0000
Al1 0.5000 0.5000 0.5000
```



Entry 10:
VASP calculation (PBE-GGA) on a geometry-optimized KZr2Rh structure.

ΔH_f (0 K) = 2.90 eV per formula unit
Final energy = -5.662 eV per atom

```
data_KZr2Rh
_symmetry_space_group_name_H-M 'P 1'
_symmetry_Int_Tables_number 1
_cell_length_a 5.6793
_cell_length_b 5.6793
_cell_length_c 2.9922
_cell_angle_alpha 90.00
_cell_angle_beta 90.00
_cell_angle_gamma 114.99
loop_
_symmetry_equiv_pos_as_xyz
'x,y,z'
loop_
_atom_site_label
_atom_site_fract_x
_atom_site_fract_y
_atom_site_fract_z
K1 0.5000 0.0000 0.5000
Rh1 0.0000 0.5000 0.5000
Zr1 0.0000 0.0000 0.0000
Zr2 0.5000 0.5000 0.0000
```



Entry 11:
VASP calculation (PBE-GGA) on a geometry-optimized KBa3Pd structure.

ΔH_f (0 K) = -1.16 eV per formula unit
Final energy = -2.643 eV per atom

```
data_KBa3Pd
_symmetry_space_group_name_H-M 'P 1'
_symmetry_Int_Tables_number 1
_cell_length_a 6.4735
_cell_length_b 6.4735
_cell_length_c 6.4735
_cell_angle_alpha 90.00
_cell_angle_beta 90.00
_cell_angle_gamma 90.00
loop_
_symmetry_equiv_pos_as_xyz
'x,y,z'
loop_
_atom_site_label
_atom_site_fract_x
_atom_site_fract_y
_atom_site_fract_z
K1 0.5000 0.5000 0.5000
Ba1 0.0000 0.5000 0.0000
Ba2 0.0000 0.0000 0.5000
Ba3 0.5000 0.0000 0.0000
Pd1 0.0000 0.0000 0.0000
```



Entry 12:
VASP calculation (PBE-GGA) on a geometry-optimized TiSF2 structure.

ΔE_f (raw) = -120.2 kJ per mole of atoms
Final energy = -5.187 eV per atom

```
data_TiSF2
_symmetry_space_group_name_H-M 'P 1'
_symmetry_Int_Tables_number 1
_cell_length_a 4.0596
_cell_length_b 4.0596
_cell_length_c 4.0596
_cell_angle_alpha 60.00
_cell_angle_beta 60.00
_cell_angle_gamma 60.00
loop_
_symmetry_equiv_pos_as_xyz
'x,y,z'
loop_
_atom_site_label
_atom_site_fract_x
_atom_site_fract_y
_atom_site_fract_z
S1 0.0000 0.0000 0.0000
F1 0.2500 0.2500 0.2500
F2 0.7500 0.7500 0.7500
Ti1 0.5000 0.5000 0.5000
```



Entry 13:
VASP calculation (PBE-GGA) on a geometry-optimized ReAgAu2 structure.

ΔH_f (0 K) = 1.88 eV per formula unit
Final energy = -4.994 eV per atom

```
data_ReAgAu2
_symmetry_space_group_name_H-M 'P 1'
_symmetry_Int_Tables_number 1
_cell_length_a 5.0582
_cell_length_b 5.0582
_cell_length_c 5.1148
_cell_angle_alpha 82.82
_cell_angle_beta 82.82
_cell_angle_gamma 31.55
loop_
_symmetry_equiv_pos_as_xyz
'x,y,z'
loop_
_atom_site_label
_atom_site_fract_x
_atom_site_fract_y
_atom_site_fract_z
Re1 0.4997 0.4997 0.5178
Au1 0.9989 0.9989 0.0157
Au2 0.7559 0.7559 0.7252
Ag1 0.2455 0.2455 0.2413
```